P:
Density functional theory data (PBE) for crystalline TaSbCl2 at its relaxed geometry.

The total magnetization comes out at 0.0 Bohr magnetons per cell. The value obtained for the density is 6.5 g cm⁻³.

The structure belongs to space group P4/mmm (No. 123); the cell edges are 3.0385, 3.0385 and 10.3752 Å and the angles 90.00°, 90.00° and 90.00°. The distinct sites, in fractional coordinates, are Ta at (0.0000, 0.0000, 0.0000), Sb at (0.0000, 0.0000, 0.5000) and Cl at (0.5000, 0.5000, 0.1479).

Q:
Density functional theory data (PBE) for crystalline TaSbCl2 at its relaxed geometry.

The total magnetization comes out at 0.0 Bohr magnetons per cell. The value obtained for the density is 7.2 g cm⁻³.

The structure belongs to space group Pmm2 (No. 25); the cell edges are 4.8448, 5.4804 and 3.2587 Å and the angles 90.00°, 90.00° and 90.00°. The distinct sites, in fractional coordinates, are Ta at (0.0000, 0.0000, 0.0000), Sb at (0.0000, 0.5000, 0.3078), Cl at (0.5000, 0.0000, 0.0255) and Cl at (0.5000, 0.5000, 0.5755).

Most favorable first, least favorable last: P, Q

P:
Density functional theory data (PBE) for crystalline Cr2InAs at its relaxed geometry.

The total magnetization comes out at 25.0 Bohr magnetons per cell. The value obtained for the density is 6.4 g cm⁻³.

The structure belongs to space group I-42d (No. 122); the cell edges are 7.1580, 7.1580 and 5.9347 Å and the angles 90.00°, 90.00° and 90.00°. The distinct sites, in fractional coordinates, are Cr at (0.2054, 0.2500, 0.1250), In at (0.0000, 0.0000, 0.5000) and As at (0.0000, 0.0000, 0.0000).

Q:
Density functional theory data (PBE) for crystalline Cr2InAs at its relaxed geometry.

The total magnetization comes out at 3.7 Bohr magnetons per cell. The value obtained for the density is 7.8 g cm⁻³.

The structure belongs to space group P4/mmm (No. 123); the cell edges are 3.0497, 3.0497 and 6.7033 Å and the angles 90.00°, 90.00° and 90.00°. The distinct sites, in fractional coordinates, are Cr at (0.0000, 0.0000, 0.2040), In at (0.5000, 0.5000, 0.5000) and As at (0.5000, 0.5000, 0.0000).

Most favorable first, least favorable last: Q, P

P:
Density functional theory data (PBE) for crystalline TlCr2Os at its relaxed geometry.

The total magnetization comes out at 0.0 Bohr magnetons per cell. The value obtained for the density is 13.7 g cm⁻³.

The structure belongs to space group Immm (No. 71); the cell edges are 3.2081, 4.3766 and 8.5982 Å and the angles 90.00°, 90.00° and 90.00°. The distinct sites, in fractional coordinates, are Tl at (0.0000, 0.0000, 0.0000), Cr at (0.0000, 0.5000, 0.2385) and Os at (0.0000, 0.0000, 0.5000).

Q:
Density functional theory data (PBE) for crystalline TlCr2Os at its relaxed geometry.

The total magnetization comes out at 1.9 Bohr magnetons per cell. The value obtained for the density is 12.9 g cm⁻³.

The structure belongs to space group P4mm (No. 99); the cell edges are 2.9150, 2.9150 and 7.5649 Å and the angles 90.00°, 90.00° and 90.00°. The distinct sites, in fractional coordinates, are Tl at (0.0000, 0.0000, 0.0000), Cr at (0.0000, 0.0000, 0.5083), Cr at (0.5000, 0.5000, 0.2979) and Os at (0.5000, 0.5000, 0.7000).

Most favorable first, least favorable last: Q, P

P:
Density functional theory data (PBE) for crystalline NaCa2In2 at its relaxed geometry.

The total magnetization comes out at 0.0 Bohr magnetons per cell. The value obtained for the density is 3.5 g cm⁻³.

The structure belongs to space group P4/mbm (No. 127); the cell edges are 9.1899, 9.1899 and 3.7367 Å and the angles 90.00°, 90.00° and 90.00°. The distinct sites, in fractional coordinates, are Na at (0.0000, 0.0000, 0.0000), Ca at (0.1504, 0.3496, 0.0000) and In at (0.1452, 0.6452, 0.5000).

Q:
Density functional theory data (PBE) for crystalline NaCa2In2 at its relaxed geometry.

The total magnetization comes out at 0.0 Bohr magnetons per cell. The value obtained for the density is 3.1 g cm⁻³.

The structure belongs to space group I4/mmm (No. 139); the cell edges are 4.4224, 4.4224 and 18.0268 Å and the angles 90.00°, 90.00° and 90.00°. The distinct sites, in fractional coordinates, are Na at (0.0000, 0.0000, 0.0000), Ca at (0.0000, 0.0000, 0.3879) and In at (0.0000, 0.5000, 0.2500).

Most favorable first, least favorable last: P, Q

P:
Density functional theory data (PBE) for crystalline CaHgBr at its relaxed geometry.

The total magnetization comes out at 0.0 Bohr magnetons per cell. The value obtained for the density is 5.4 g cm⁻³.

The structure belongs to space group Cm (No. 8); the cell edges are 7.6006, 4.2717 and 12.1468 Å and the angles 90.00°, 90.42° and 90.00°. The distinct sites, in fractional coordinates, are Ca at (0.0000, 0.0000, 0.0000), Ca at (0.1674, 0.5000, 0.5422), Hg at (0.3269, 0.0000, 0.8314), Hg at (0.4983, 0.5000, 0.7092), Br at (0.1713, 0.5000, 0.1247) and Br at (0.4958, 0.5000, 0.4121).

Q:
Density functional theory data (PBE) for crystalline CaHgBr at its relaxed geometry.

The total magnetization comes out at 0.0 Bohr magnetons per cell. The value obtained for the density is 5.3 g cm⁻³.

The structure belongs to space group P-3m1 (No. 164); the cell edges are 4.0631, 4.0631 and 28.2841 Å and the angles 90.00°, 90.00° and 120.00°. The distinct sites, in fractional coordinates, are Ca at (0.3333, 0.6667, 0.1079), Ca at (0.3333, 0.6667, 0.6283), Hg at (0.3333, 0.6667, 0.8149), Hg at (0.3333, 0.6667, 0.9647), Br at (0.3333, 0.6667, 0.3091) and Br at (0.3333, 0.6667, 0.4341).

Most favorable first, least favorable last: P, Q

P:
Density functional theory data (PBE) for crystalline K2SrSc at its relaxed geometry.

The total magnetization comes out at 0.6 Bohr magnetons per cell. The value obtained for the density is 1.8 g cm⁻³.

The structure belongs to space group Pmmm (No. 47); the cell edges are 3.7308, 6.8285 and 7.5461 Å and the angles 90.00°, 90.00° and 90.00°. The distinct sites, in fractional coordinates, are K at (0.0000, 0.0000, 0.2362), Sr at (0.5000, 0.5000, 0.5000) and Sc at (0.5000, 0.5000, 0.0000).

Q:
Density functional theory data (PBE) for crystalline K2SrSc at its relaxed geometry.

The total magnetization comes out at 5.9 Bohr magnetons per cell. The value obtained for the density is 1.8 g cm⁻³.

The structure belongs to space group Fm-3m (No. 225); the cell edges are 9.2546, 9.2546 and 9.2546 Å and the angles 90.00°, 90.00° and 90.00°. The distinct sites, in fractional coordinates, are K at (0.2500, 0.2500, 0.2500), Sr at (0.0000, 0.0000, 0.0000) and Sc at (0.0000, 0.0000, 0.5000).

Most favorable first, least favorable last: P, Q

P:
Density functional theory data (PBE) for crystalline B5C7 at its relaxed geometry.

The total magnetization comes out at 0.0 Bohr magnetons per cell. The value obtained for the density is 2.8 g cm⁻³.

The structure belongs to space group Cm (No. 8); the cell edges are 11.8570, 2.6102 and 5.2974 Å and the angles 90.00°, 100.72° and 90.00°. The distinct sites, in fractional coordinates, are B at (0.0000, 0.0000, 0.0000), B at (0.0259, 0.0000, 0.6026), B at (0.1319, 0.0000, 0.4163), B at (0.2682, 0.5000, 0.6908), B at (0.4208, 0.0000, 0.5062), C at (0.1157, 0.0000, 0.8794), C at (0.1880, 0.5000, 0.9223), C at (0.1940, 0.5000, 0.3956), C at (0.2699, 0.5000, 0.1859), C at (0.3479, 0.0000, 0.2206), C at (0.3532, 0.0000, 0.7454) and C at (0.4249, 0.0000, 0.0136).

Q:
Density functional theory data (PBE) for crystalline B5C7 at its relaxed geometry.

The total magnetization comes out at 0.0 Bohr magnetons per cell. The value obtained for the density is 2.9 g cm⁻³.

The structure belongs to space group P3m1 (No. 156); the cell edges are 2.5759, 2.5759 and 13.6637 Å and the angles 90.00°, 90.00° and 120.00°. The distinct sites, in fractional coordinates, are B at (0.0000, 0.0000, 0.0000), B at (0.0000, 0.0000, 0.1239), B at (0.0000, 0.0000, 0.6052), B at (0.6667, 0.3333, 0.4419), B at (0.6667, 0.3333, 0.9207), C at (0.0000, 0.0000, 0.4904), C at (0.3333, 0.6667, 0.1739), C at (0.3333, 0.6667, 0.2852), C at (0.3333, 0.6667, 0.6553), C at (0.3333, 0.6667, 0.7658), C at (0.6667, 0.3333, 0.3222) and C at (0.6667, 0.3333, 0.8049).

Most favorable first, least favorable last: P, Q

P:
Density functional theory data (PBE) for crystalline CuTeRu at its relaxed geometry.

The total magnetization comes out at 0.0 Bohr magnetons per cell. The value obtained for the density is 8.7 g cm⁻³.

The structure belongs to space group F-43m (No. 216); the cell edges are 6.0640, 6.0640 and 6.0640 Å and the angles 90.00°, 90.00° and 90.00°. The distinct sites, in fractional coordinates, are Cu at (0.0000, 0.0000, 0.0000), Te at (0.0000, 0.0000, 0.5000) and Ru at (0.2500, 0.2500, 0.7500).

Q:
Density functional theory data (PBE) for crystalline CuTeRu at its relaxed geometry.

The total magnetization comes out at 0.0 Bohr magnetons per cell. The value obtained for the density is 9.2 g cm⁻³.

The structure belongs to space group P-6m2 (No. 187); the cell edges are 4.3631, 4.3631 and 3.1988 Å and the angles 90.00°, 90.00° and 120.00°. The distinct sites, in fractional coordinates, are Cu at (0.0000, 0.0000, 0.0000), Te at (0.3333, 0.6667, 0.5000) and Ru at (0.6667, 0.3333, 0.5000).

Most favorable first, least favorable last: P, Q

P:
Density functional theory data (PBE) for crystalline TlIn2Co at its relaxed geometry.

The total magnetization comes out at 1.4 Bohr magnetons per cell. The value obtained for the density is 9.4 g cm⁻³.

The structure belongs to space group P4/mmm (No. 123); the cell edges are 4.3628, 4.3628 and 4.5767 Å and the angles 90.00°, 90.00° and 90.00°. The distinct sites, in fractional coordinates, are Tl at (0.0000, 0.0000, 0.0000), In at (0.0000, 0.5000, 0.5000) and Co at (0.5000, 0.5000, 0.0000).

Q:
Density functional theory data (PBE) for crystalline TlIn2Co at its relaxed geometry.

The total magnetization comes out at 0.6 Bohr magnetons per cell. The value obtained for the density is 9.3 g cm⁻³.

The structure belongs to space group P4/mmm (No. 123); the cell edges are 3.1609, 3.1609 and 8.7663 Å and the angles 90.00°, 90.00° and 90.00°. The distinct sites, in fractional coordinates, are Tl at (0.0000, 0.0000, 0.0000), In at (0.5000, 0.5000, 0.3198) and Co at (0.0000, 0.0000, 0.5000).

Most favorable first, least favorable last: Q, P

P:
Density functional theory data (PBE) for crystalline Zr2ZnTe at its relaxed geometry.

The total magnetization comes out at 0.0 Bohr magnetons per cell. The value obtained for the density is 7.3 g cm⁻³.

The structure belongs to space group Imm2 (No. 44); the cell edges are 3.5658, 4.7937 and 9.9438 Å and the angles 90.00°, 90.00° and 90.00°. The distinct sites, in fractional coordinates, are Zr at (0.0000, 0.0000, 0.0000), Zr at (0.0000, 0.5000, 0.2420), Zn at (0.0000, 0.0000, 0.4902) and Te at (0.0000, 0.5000, 0.7456).

Q:
Density functional theory data (PBE) for crystalline Zr2ZnTe at its relaxed geometry.

The total magnetization comes out at 0.0 Bohr magnetons per cell. The value obtained for the density is 7.4 g cm⁻³.

The structure belongs to space group C2/m (No. 12); the cell edges are 6.2646, 7.7347 and 3.4657 Å and the angles 90.00°, 91.28° and 90.00°. The distinct sites, in fractional coordinates, are Zr at (0.2500, 0.2500, 0.0000), Zn at (0.0000, 0.0000, 0.5000) and Te at (0.0000, 0.5000, 0.5000).

Most favorable first, least favorable last: Q, P